The following is a PBE calculation of a relaxed Cd3In2Pb2 crystal, from Alexandria.

Computed properties:
The formation energy is 0.08 eV/atom. As for the space-group type: C2/m (12). Its energy relative to the lowest polymorph listed for this composition is 0.043 eV per atom.

Lattice parameters (Å, degrees): 14.1073 4.7335 6.5036 90.00 113.11 90.00
Fractional coordinates of all 14 atoms:
Cd  0.0000  0.0000  0.0000
Cd  0.2209  0.0000  0.3154
Cd  0.2791  0.5000  0.6846
Cd  0.5000  0.5000  0.0000
Cd  0.7209  0.5000  0.3154
Cd  0.7791  0.0000  0.6846
In  0.1619  0.0000  0.7865
In  0.3381  0.5000  0.2135
In  0.6619  0.5000  0.7865
In  0.8381  0.0000  0.2135
Pb  0.0530  0.5000  0.3260
Pb  0.4470  0.0000  0.6740
Pb  0.5530  0.0000  0.3260
Pb  0.9470  0.5000  0.6740


The following is a PBE calculation of a relaxed Ca3MnNb crystal, from Alexandria.

Computed properties:
The formation energy is 1.40 eV/atom. As for the space-group type: Pm-3m (221). Its energy relative to the lowest polymorph listed for this composition is 0.197 eV per atom.

Lattice parameters (Å, degrees): 5.2098 5.2098 5.2098 90.00 90.00 90.00
Fractional coordinates of all 5 atoms:
Ca  0.0000  0.0000  0.5000
Ca  0.0000  0.5000  0.0000
Ca  0.5000  0.0000  0.0000
Mn  0.0000  0.0000  0.0000
Nb  0.5000  0.5000  0.5000


The following is a PBE calculation of a relaxed Tc2HgGeN crystal, from Alexandria.

Computed properties:
As for the space-group type: P4/mmm (123). As for the uncorrected formation energy: 0.5091 eV per atom.

Lattice parameters (Å, degrees): 4.0498 4.0498 4.7382 90.00 90.00 90.00
Fractional coordinates of all 5 atoms:
Tc  0.0000  0.5000  0.0000
Tc  0.5000  0.0000  0.0000
Hg  0.0000  0.0000  0.5000
Ge  0.5000  0.5000  0.5000
N  0.5000  0.5000  0.0000


The following is a PBE calculation of a relaxed ThSi6Rh12 crystal, from Alexandria.

Computed properties:
As for the space-group type: R-3m (166). As for the uncorrected formation energy: -0.7530 eV per atom.

Lattice parameters (Å, degrees): 6.9645 6.9645 6.9645 105.86 105.86 105.86
Fractional coordinates of all 19 atoms:
Th  0.0000  0.0000  0.0000
Si  0.2492  0.2492  0.6882
Si  0.2492  0.6882  0.2492
Si  0.3118  0.7508  0.7508
Si  0.6882  0.2492  0.2492
Si  0.7508  0.3118  0.7508
Si  0.7508  0.7508  0.3118
Rh  0.1303  0.5000  0.8697
Rh  0.1303  0.8697  0.5000
Rh  0.1810  0.4295  0.4295
Rh  0.4295  0.1810  0.4295
Rh  0.4295  0.4295  0.1810
Rh  0.5000  0.1303  0.8697
Rh  0.5000  0.8697  0.1303
Rh  0.5705  0.5705  0.8190
Rh  0.5705  0.8190  0.5705
Rh  0.8190  0.5705  0.5705
Rh  0.8697  0.1303  0.5000
Rh  0.8697  0.5000  0.1303


The following is a PBE calculation of a relaxed LaYSc2C crystal, from Alexandria.

Computed properties:
The formation energy is -0.01 eV/atom. As for the space-group type: P4/mmm (123). Its energy relative to the lowest polymorph listed for this composition is 0.026 eV per atom.

Lattice parameters (Å, degrees): 4.6274 4.6274 5.5843 90.00 90.00 90.00
Fractional coordinates of all 5 atoms:
La  0.0000  0.0000  0.0000
Y  0.5000  0.5000  0.0000
Sc  0.0000  0.5000  0.5000
Sc  0.5000  0.0000  0.5000
C  0.0000  0.0000  0.5000


The following is a PBE calculation of a relaxed La5Nd5Ho2 crystal, from Alexandria.

Computed properties:
The formation energy is 0.02 eV/atom. As for the space-group type: C2/m (12).

Lattice parameters (Å, degrees): 8.2659 8.2659 11.5887 115.28 115.28 36.82
Fractional coordinates of all 12 atoms:
La  0.0000  0.0000  0.0000
La  0.0816  0.0816  0.7461
La  0.2496  0.2496  0.2542
La  0.7504  0.7504  0.7458
La  0.9184  0.9184  0.2539
Nd  0.3329  0.3329  0.0005
Nd  0.4144  0.4144  0.7449
Nd  0.5000  0.5000  0.5000
Nd  0.5856  0.5856  0.2551
Nd  0.6671  0.6671  0.9995
Ho  0.1681  0.1681  0.4999
Ho  0.8319  0.8319  0.5001


The following is a PBE calculation of a relaxed CuTePd crystal, from Alexandria.

Computed properties:
As for the space-group type: R3m (160). As for the uncorrected formation energy: 0.3874 eV per atom.

Lattice parameters (Å, degrees): 3.2349 3.2349 20.9216 90.00 90.00 120.00
Fractional coordinates of all 9 atoms:
Cu  0.0000  0.0000  0.0000
Cu  0.3333  0.6667  0.6667
Cu  0.6667  0.3333  0.3333
Te  0.0000  0.0000  0.8788
Te  0.3333  0.6667  0.5454
Te  0.6667  0.3333  0.2121
Pd  0.0000  0.0000  0.1179
Pd  0.3333  0.6667  0.7846
Pd  0.6667  0.3333  0.4513


The following is a PBE calculation of a relaxed Re2OsSe crystal, from Alexandria.

Computed properties:
As for the space-group type: Cmmm (65). As for the uncorrected formation energy: 0.7987 eV per atom.

Lattice parameters (Å, degrees): 2.8194 4.7317 9.5175 90.00 90.00 90.00
Fractional coordinates of all 8 atoms:
Re  0.0000  0.0000  0.2366
Re  0.0000  0.0000  0.7634
Re  0.5000  0.5000  0.2366
Re  0.5000  0.5000  0.7634
Os  0.0000  0.5000  0.0000
Os  0.5000  0.0000  0.0000
Se  0.0000  0.5000  0.5000
Se  0.5000  0.0000  0.5000